a:
DFT (PBE-GGA) results for Er8TcAg2 after structural relaxation.

Structure (POSCAR):
```
Er8TcAg2
1.0
8.5716 -2.5905 0.0000
8.5716 2.5905 0.0000
-2.1631 0.0000 6.4899
Er Tc Ag
8 1 2
Direct
0.0270 0.0270 0.2952
0.1958 0.1958 0.7972
0.3393 0.3393 0.5368
0.4083 0.4083 0.0687
0.5917 0.5917 0.9313
0.6607 0.6607 0.4632
0.8042 0.8042 0.2028
0.9730 0.9730 0.7048
0.5000 0.5000 0.5000
0.1836 0.1836 0.2054
0.8164 0.8164 0.7946
```

b:
DFT (PBE-GGA) results for Er8TcAg2 after structural relaxation.

Structure (POSCAR):
```
Er8TcAg2
1.0
3.8217 -7.7298 0.0000
3.8217 7.7298 0.0000
-3.3005 0.0000 5.0576
Er Tc Ag
8 1 2
Direct
0.0000 0.0000 0.0000
0.0883 0.4675 0.1357
0.1222 0.8876 0.4754
0.4298 0.6584 0.8434
0.4675 0.0883 0.1357
0.5548 0.5548 0.3737
0.6584 0.4298 0.8434
0.8876 0.1222 0.4754
0.2699 0.2699 0.8606
0.5536 0.9790 0.6438
0.9790 0.5536 0.6438
```

Result of the stability comparison: a is the most stable of them.

a:
DFT (PBE-GGA) results for Er2AgTe after structural relaxation.

Structure (POSCAR):
```
Er2AgTe
1.0
2.0553 1.1866 7.5249
-2.0553 1.1866 7.5249
0.0000 -2.3732 7.5249
Er Ag Te
2 1 1
Direct
0.2454 0.2454 0.2454
0.7546 0.7546 0.7546
0.5000 0.5000 0.5000
0.0000 0.0000 0.0000
```

b:
DFT (PBE-GGA) results for Er2AgTe after structural relaxation.

Structure (POSCAR):
```
Er2AgTe
1.0
3.8106 0.0000 0.0000
0.0000 3.8106 0.0000
0.0000 0.0000 6.9086
Er Ag Te
2 1 1
Direct
0.0000 0.0000 0.2438
0.0000 0.0000 0.7562
0.5000 0.5000 0.0000
0.5000 0.5000 0.5000
```

Result of the stability comparison: a is the most stable of them.